Record 1
DFT (PBE) results for a geometry-optimized CsNaLa2Ru structure.

Structure (CIF):
```
data_CsNaLa2Ru
_chemical_formula_sum 'Cs1 Na1 La2 Ru1'
_space_group_name_H-M_alt 'P 4/m m m'
_space_group_IT_number 123
_space_group_name_Hall '-P 4 2'
_cell_length_a 5.428
_cell_length_b 5.428
_cell_length_c 6.761
_cell_angle_alpha 90.00
_cell_angle_beta 90.00
_cell_angle_gamma 90.00
loop_
_atom_site_label
_atom_site_type_symbol
_atom_site_fract_x
_atom_site_fract_y
_atom_site_fract_z
Cs1 Cs 0.000 0.000 0.000
Na1 Na 0.500 0.500 0.000
La1 La 0.000 0.500 0.500
Ru1 Ru 0.500 0.500 0.500
```

## Properties
The formation enthalpy at 0 K is 111 meV/atom. The mass density comes out at 4.46 Mg/m³. As for the final energy: -4.150 eV/atom.


Record 2
DFT (PBE) results for a geometry-optimized CsNa2LaRu structure.

Structure (CIF):
```
data_CsNa2LaRu
_chemical_formula_sum 'Cs1 Na2 La1 Ru1'
_space_group_name_H-M_alt 'P 4/m m m'
_space_group_IT_number 123
_space_group_name_Hall '-P 4 2'
_cell_length_a 5.501
_cell_length_b 5.501
_cell_length_c 5.430
_cell_angle_alpha 90.00
_cell_angle_beta 90.00
_cell_angle_gamma 90.00
loop_
_atom_site_label
_atom_site_type_symbol
_atom_site_fract_x
_atom_site_fract_y
_atom_site_fract_z
Cs1 Cs 0.000 0.000 0.000
Na1 Na 0.000 0.500 0.000
La1 La 0.500 0.500 0.500
Ru1 Ru 0.000 0.000 0.500
```

## Properties
The formation enthalpy at 0 K is 1225 meV/atom. The mass density comes out at 4.23 Mg/m³. As for the final energy: -2.314 eV/atom.


Record 3
DFT (PBE) results for a geometry-optimized CsNaLaSn2 structure.

Structure (CIF):
```
data_CsNaLaSn2
_chemical_formula_sum 'Cs1 Na1 La1 Sn2'
_space_group_name_H-M_alt 'P 4/m m m'
_space_group_IT_number 123
_space_group_name_Hall '-P 4 2'
_cell_length_a 5.693
_cell_length_b 5.693
_cell_length_c 5.722
_cell_angle_alpha 90.00
_cell_angle_beta 90.00
_cell_angle_gamma 90.00
loop_
_atom_site_label
_atom_site_type_symbol
_atom_site_fract_x
_atom_site_fract_y
_atom_site_fract_z
Cs1 Cs 0.000 0.000 0.000
Na1 Na 0.500 0.500 0.500
La1 La 0.500 0.500 0.000
Sn1 Sn 0.000 0.500 0.500
```

## Properties
The formation enthalpy at 0 K is 295 meV/atom. The mass density comes out at 4.77 Mg/m³. As for the final energy: -2.726 eV/atom.


Record 4
DFT (PBE) results for a geometry-optimized CsLaNb3 structure.

Structure (CIF):
```
data_CsLaNb3
_chemical_formula_sum 'Cs1 La1 Nb3'
_space_group_name_H-M_alt 'P m -3 m'
_space_group_IT_number 221
_space_group_name_Hall '-P 4 2 3'
_cell_length_a 5.147
_cell_length_b 5.147
_cell_length_c 5.147
_cell_angle_alpha 90.00
_cell_angle_beta 90.00
_cell_angle_gamma 90.00
loop_
_atom_site_label
_atom_site_type_symbol
_atom_site_fract_x
_atom_site_fract_y
_atom_site_fract_z
Cs1 Cs 0.000 0.000 0.000
La1 La 0.500 0.500 0.500
Nb1 Nb 0.000 0.000 0.500
```

## Properties
The formation enthalpy at 0 K is 2149 meV/atom. The mass density comes out at 6.70 Mg/m³. As for the final energy: -5.049 eV/atom.


Record 5
DFT (PBE) results for a geometry-optimized CsLaNb2 structure.

Structure (CIF):
```
data_CsLaNb2
_chemical_formula_sum 'Cs4 La4 Nb8'
_space_group_name_H-M_alt 'I -4 2 d'
_space_group_IT_number 122
_space_group_name_Hall 'I -4 2bw'
_cell_length_a 4.304
_cell_length_b 4.304
_cell_length_c 22.947
_cell_angle_alpha 90.00
_cell_angle_beta 90.00
_cell_angle_gamma 90.00
loop_
_atom_site_label
_atom_site_type_symbol
_atom_site_fract_x
_atom_site_fract_y
_atom_site_fract_z
Cs1 Cs 0.000 0.000 0.000
La1 La 0.000 0.000 0.500
Nb1 Nb 0.228 0.750 0.625
```

## Properties
The formation enthalpy at 0 K is 1447 meV/atom. The mass density comes out at 7.15 Mg/m³. As for the final energy: -5.033 eV/atom.


Record 6
DFT (PBE) results for a geometry-optimized CsLaNb3 structure.

Structure (CIF):
```
data_CsLaNb3
_chemical_formula_sum 'Cs1 La1 Nb3'
_space_group_name_H-M_alt 'P m -3 m'
_space_group_IT_number 221
_space_group_name_Hall '-P 4 2 3'
_cell_length_a 5.222
_cell_length_b 5.222
_cell_length_c 5.222
_cell_angle_alpha 90.00
_cell_angle_beta 90.00
_cell_angle_gamma 90.00
loop_
_atom_site_label
_atom_site_type_symbol
_atom_site_fract_x
_atom_site_fract_y
_atom_site_fract_z
Cs1 Cs 0.000 0.000 0.000
La1 La 0.500 0.500 0.500
Nb1 Nb 0.000 0.500 0.500
```

## Properties
The formation enthalpy at 0 K is 2112 meV/atom. The mass density comes out at 6.42 Mg/m³. As for the final energy: -5.086 eV/atom.